A relaxed structure of HfMoO2F, computed with GGA+U.

a = 4.158 Å, b = 4.158 Å, c = 4.111 Å
α = 90.00°, β = 90.00°, γ = 90.00°
Element x y z (fractional)
Mo: 0.000 0.000 0.000
Hf: 0.500 0.500 0.500
O: 0.000 0.500 0.000
O: 0.500 0.000 0.000
F: 0.000 0.000 0.500

Calculated values
Density, kg/m3: 7602
Space group: P4/mmm, No. 123
Crystal system: tetragonal
VASP energy, eV per atom: -6.7616

---

A relaxed structure of HfMoO2F, computed with GGA+U.

a = 4.124 Å, b = 4.124 Å, c = 4.230 Å
α = 90.00°, β = 90.00°, γ = 90.00°
Element x y z (fractional)
Mo: 0.500 0.500 0.500
Hf: 0.000 0.000 0.000
O: 0.000 0.500 0.000
O: 0.500 0.000 0.000
F: 0.000 0.000 0.500

Calculated values
Density, kg/m3: 7511
Space group: P4/mmm, No. 123
Crystal system: tetragonal
VASP energy, eV per atom: -7.8771

---

A relaxed structure of Hf2MoOsF, computed with GGA+U.

a = 4.470 Å, b = 4.154 Å, c = 4.470 Å
α = 90.00°, β = 90.00°, γ = 90.00°
Element x y z (fractional)
Hf: 0.000 0.000 0.500
Hf: 0.500 0.000 0.000
Mo: 0.000 0.500 0.000
Os: 0.500 0.500 0.500
F: 0.000 0.000 0.000

Calculated values
Density, kg/m3: 13246
Space group: P4/mmm, No. 123
Crystal system: tetragonal
VASP energy, eV per atom: -8.0163

---

A relaxed structure of HfMo2PtF, computed with GGA+U.

a = 5.348 Å, b = 3.943 Å, c = 5.348 Å
α = 90.00°, β = 90.00°, γ = 90.00°
Element x y z (fractional)
Mo: 0.000 0.000 0.500
Mo: 0.500 0.000 0.000
Hf: 0.000 0.000 0.000
Pt: 0.500 0.500 0.500
F: 0.000 0.500 0.000

Calculated values
Density, kg/m3: 8607
Space group: P4/mmm, No. 123
Crystal system: tetragonal
VASP energy, eV per atom: -5.7453

---

A relaxed structure of Hf2MoPtF, computed with GGA+U.

a = 5.070 Å, b = 3.972 Å, c = 5.070 Å
α = 90.00°, β = 90.00°, γ = 90.00°
Element x y z (fractional)
Mo: 0.000 0.000 0.000
Hf: 0.000 0.000 0.500
Hf: 0.500 0.000 0.000
Pt: 0.500 0.500 0.500
F: 0.000 0.500 0.000

Calculated values
Density, kg/m3: 10848
Space group: P4/mmm, No. 123
Crystal system: tetragonal
VASP energy, eV per atom: -6.6829

---

A relaxed structure of HfMoRh2F, computed with GGA+U.

a = 4.591 Å, b = 4.015 Å, c = 4.591 Å
α = 90.00°, β = 90.00°, γ = 90.00°
Element x y z (fractional)
Rh: 0.000 0.000 0.500
Rh: 0.500 0.000 0.000
Mo: 0.000 0.500 0.000
Hf: 0.500 0.500 0.500
F: 0.000 0.000 0.000

Calculated values
Density, kg/m3: 9797
Space group: P4/mmm, No. 123
Crystal system: tetragonal
VASP energy, eV per atom: -6.5757